The following is a DFT calculation (PBE) of a relaxed TaNb2In crystal.

Computed properties:
Electronic total energy (eV per formula unit): -34.2
Total magnetic moment (μB/cell): 0.00

Structure (POSCAR):
```
TaNb2In
1.0
-0.542 3.339 3.327
-0.584 4.536 -1.264
-4.213 2.103 0.586
Ta In Nb
1 1 2
Cartesian
-1.335 2.495 0.662 Ta
-2.670 4.989 1.324 In
-4.004 7.484 1.987 Nb
0.000 0.000 0.000 Nb
```


The following is a DFT calculation (PBE) of a relaxed GdTmFe2Sn crystal.

Computed properties:
Electronic total energy (eV per formula unit): -31.2
Total magnetic moment (μB/cell): 3.07

Structure (POSCAR):
```
GdTmFe2Sn
1.0
-3.372 1.576 0.738
3.317 5.947 2.461
2.772 6.555 -1.330
Sn Tm Fe Gd
1 1 2 1
Cartesian
4.391 13.264 1.497 Sn
2.220 4.558 0.412 Tm
-0.437 3.351 0.601 Fe
3.175 10.767 1.271 Fe
3.863 7.930 0.717 Gd
```


The following is a DFT calculation (PBE) of a relaxed LuTlHgTe3 crystal.

Computed properties:
Distance to the lowest polymorph of the same formula (kJ/mol of formula units): 2
Total magnetic moment (μB/cell): 0.01

Structure (POSCAR):
```
LuTlHgTe3
1.0
11.539 0.000 0.000
0.000 4.402 0.000
0.000 0.000 15.161
Hg Te Lu Tl
4 12 4 4
Cartesian
8.551 1.101 3.222 Hg
8.758 3.302 10.802 Hg
2.988 3.302 11.939 Hg
2.781 1.101 4.359 Hg
5.099 1.101 5.939 Te
2.699 3.302 2.513 Te
3.070 1.101 10.093 Te
0.671 3.302 13.519 Te
10.868 1.101 1.641 Te
5.431 3.302 13.374 Te
11.200 3.302 9.368 Te
0.339 1.101 5.793 Te
6.440 3.302 9.222 Te
6.108 1.101 1.787 Te
8.469 3.302 5.067 Te
8.840 1.101 12.648 Te
5.965 1.101 11.310 Lu
5.574 3.302 3.851 Lu
0.196 1.101 11.431 Lu
11.343 3.302 3.730 Lu
8.902 1.101 7.787 Tl
2.637 3.302 7.373 Tl
3.132 1.101 14.954 Tl
8.407 3.302 0.207 Tl
```


The following is a DFT calculation (PBE) of a relaxed ScCdOs crystal.

Computed properties:
Energy relative to the elements (eV/atom): 0.68
Distance to the lowest polymorph of the same formula (kJ/mol of formula units): 95
Total magnetic moment (μB/cell): 0.01

Structure (POSCAR):
```
ScCdOs
1.0
0.000 3.170 3.170
3.170 0.000 3.170
3.170 3.170 0.000
Cd Os Sc
1 1 1
Cartesian
1.585 1.585 1.585 Cd
4.755 4.755 4.755 Os
0.000 0.000 0.000 Sc
```


The following is a DFT calculation (PBE) of a relaxed HfScIr2 crystal.

Computed properties:
Energy relative to the elements (eV/atom): -0.43
Distance to the lowest polymorph of the same formula (kJ/mol of formula units): 216
Total magnetic moment (μB/cell): 0.01

Structure (POSCAR):
```
HfScIr2
1.0
0.000 3.229 3.229
3.229 0.000 3.229
3.229 3.229 0.000
Ir Sc Hf
2 1 1
Cartesian
3.229 3.229 3.229 Ir
1.614 1.614 1.614 Ir
0.000 0.000 0.000 Sc
4.843 4.843 4.843 Hf
```


The following is a DFT calculation (PBE) of a relaxed Ta2Ni3W4C3 crystal.

Computed properties:
Electronic total energy (eV per formula unit): -120.7
Total magnetic moment (μB/cell): 0.01

Structure (POSCAR):
```
Ta2Ni3W4C3
1.0
-4.103 2.657 2.019
-1.601 -0.945 4.951
9.803 8.411 1.968
Ni C W Ta
6 6 8 4
Cartesian
5.996 6.348 3.853 Ni
-1.898 3.775 5.086 Ni
5.729 5.394 6.402 Ni
3.621 7.092 6.794 Ni
-1.631 4.729 2.537 Ni
0.478 3.031 2.145 Ni
6.804 9.981 4.203 C
-2.705 0.142 4.735 C
2.850 5.534 1.994 C
1.009 6.057 4.328 C
-0.801 -0.473 2.476 C
3.090 4.066 4.611 C
7.468 8.355 3.113 W
-0.800 4.672 7.266 W
4.898 5.451 1.673 W
0.442 0.605 1.210 W
2.977 3.558 2.610 W
1.121 6.565 6.329 W
3.657 9.518 7.729 W
-3.370 1.768 5.826 W
0.879 3.881 4.800 Ta
3.219 6.242 4.139 Ta
5.369 8.680 5.301 Ta
-1.270 1.443 3.638 Ta
```


The following is a DFT calculation (PBE) of a relaxed Tm2CoSi4Pt crystal.

Computed properties:
Electronic total energy (eV per formula unit): -50.7
Total magnetic moment (μB/cell): 0.00

Structure (POSCAR):
```
Tm2CoSi4Pt
1.0
4.066 0.000 0.000
0.000 1.990 8.319
0.000 -1.990 8.319
Co Tm Si Pt
1 2 4 1
Cartesian
0.000 0.000 13.700 Co
2.033 0.000 6.575 Tm
0.000 0.000 10.014 Tm
0.000 0.000 15.924 Si
0.000 0.000 4.281 Si
2.033 0.000 12.648 Si
2.033 0.000 0.526 Si
2.033 0.000 2.885 Pt
```


The following is a DFT calculation (PBE) of a relaxed Dy3Mg3Al2In crystal.

Computed properties:
Electronic total energy (eV per formula unit): -31.7
Total magnetic moment (μB/cell): 0.00

Structure (POSCAR):
```
Dy3Mg3Al2In
1.0
7.400 0.000 0.000
-3.700 6.408 0.000
0.000 0.000 4.610
Al Dy In Mg
2 3 1 3
Cartesian
0.000 4.272 2.305 Al
3.700 2.136 2.305 Al
1.620 2.807 0.000 Dy
4.159 0.000 0.000 Dy
-2.079 3.602 0.000 Dy
0.000 0.000 0.000 In
-0.912 1.580 2.305 Mg
1.824 0.000 2.305 Mg
2.788 4.829 2.305 Mg
```


The following is a DFT calculation (PBE) of a relaxed LuBeAlNi crystal.

Computed properties:
Distance to the lowest polymorph of the same formula (kJ/mol of formula units): 0
Total magnetic moment (μB/cell): 0.00

Structure (POSCAR):
```
LuBeAlNi
1.0
0.000 3.084 3.084
3.084 0.000 3.084
3.084 3.084 0.000
Be Al Lu Ni
1 1 1 1
Cartesian
1.542 1.542 1.542 Be
0.000 0.000 0.000 Al
3.084 3.084 3.084 Lu
4.626 4.626 4.626 Ni
```


The following is a DFT calculation (PBE) of a relaxed LuAl2Cu crystal.

Computed properties:
Electronic total energy (eV per formula unit): -16.6
Total magnetic moment (μB/cell): 0.00

Structure (POSCAR):
```
LuAl2Cu
1.0
0.000 3.261 3.261
3.261 0.000 3.261
3.261 3.261 0.000
Lu Cu Al
1 1 2
Cartesian
3.261 3.261 3.261 Lu
1.631 1.631 1.631 Cu
4.892 4.892 4.892 Al
0.000 0.000 0.000 Al
```


The following is a DFT calculation (PBE) of a relaxed HfScTlCu crystal.

Computed properties:
Distance to the lowest polymorph of the same formula (kJ/mol of formula units): 0
Total magnetic moment (μB/cell): 2.74

Structure (POSCAR):
```
HfScTlCu
1.0
2.928 -0.500 3.838
1.368 3.906 2.534
-1.727 0.714 4.479
Cu Sc Tl Hf
1 1 1 1
Cartesian
1.927 3.090 8.137 Cu
0.642 1.030 2.712 Sc
0.000 0.000 0.000 Tl
1.285 2.060 5.425 Hf
```


The following is a DFT calculation (PBE) of a relaxed MgScZnNi crystal.

Computed properties:
Distance to the lowest polymorph of the same formula (kJ/mol of formula units): 47
Total magnetic moment (μB/cell): 0.01

Structure (POSCAR):
```
MgScZnNi
1.0
0.000 3.170 3.170
3.170 0.000 3.170
3.170 3.170 0.000
Zn Ni Mg Sc
1 1 1 1
Cartesian
1.585 1.585 1.585 Zn
3.170 3.170 3.170 Ni
0.000 0.000 0.000 Mg
4.755 4.755 4.755 Sc
```


The following is a DFT calculation (PBE) of a relaxed SrAg2SnSeS3 crystal.

Computed properties:
Electronic total energy (eV per formula unit): -32.9

Structure (POSCAR):
```
SrAg2SnSeS3
1.0
-3.524 -0.229 5.336
4.652 -4.317 1.055
2.531 5.798 -1.215
Se Sn Ag S Sr
1 1 2 3 1
Cartesian
1.414 0.617 1.969 Se
3.623 1.239 5.132 Sn
-0.332 1.931 3.336 Ag
4.012 -0.710 1.882 Ag
2.884 -2.640 0.756 S
0.350 5.542 2.077 S
2.671 -0.961 5.536 S
0.578 -2.282 3.209 Sr
```


The following is a DFT calculation (PBE) of a relaxed Li4GaPd2Au crystal.

Computed properties:
Electronic total energy (eV per formula unit): -28.4

Structure (POSCAR):
```
Li4GaPd2Au
1.0
-1.034 -1.185 -4.082
-2.124 -3.495 1.553
-5.180 3.305 0.353
Li Ga Pd Au
4 1 2 1
Cartesian
-1.783 0.215 -1.955 Li
-1.579 -2.340 -1.265 Li
-4.976 0.750 1.043 Li
-2.590 1.652 0.176 Li
-4.169 -0.688 -1.088 Ga
-2.519 -0.818 0.876 Pd
-4.240 1.783 -1.787 Pd
0.000 0.000 0.000 Au
```


The following is a DFT calculation (PBE) of a relaxed NdTm2Mg3Tl2Zn crystal.

Computed properties:
Electronic total energy (eV per formula unit): -27.1
Total magnetic moment (μB/cell): 0.01

Structure (POSCAR):
```
NdTm2Mg3Tl2Zn
1.0
-1.832 2.045 3.669
0.170 -6.552 3.738
5.820 4.797 0.232
Tm Mg Tl Zn Nd
2 3 2 1 1
Cartesian
0.117 -3.845 2.202 Tm
3.428 2.806 0.148 Tm
0.614 -4.406 5.625 Mg
3.655 -0.317 4.864 Mg
4.941 4.286 2.940 Mg
1.132 -1.800 4.430 Tl
3.062 2.079 3.232 Tl
5.925 -1.737 3.927 Zn
2.494 -0.731 1.653 Nd
```


The following is a DFT calculation (PBE) of a relaxed TlOsAuO3 crystal.

Computed properties:
Electronic total energy (eV per formula unit): -34.6
Total magnetic moment (μB/cell): 0.00

Structure (POSCAR):
```
TlOsAuO3
1.0
9.768 0.000 0.000
0.000 3.169 0.000
0.000 0.000 10.986
Au O Tl Os
4 12 4 4
Cartesian
4.122 0.000 0.970 Au
5.646 1.585 10.016 Au
9.007 1.585 4.523 Au
0.762 0.000 6.463 Au
6.783 0.000 7.691 O
9.595 0.000 9.630 O
0.173 1.585 1.356 O
4.711 1.585 6.849 O
7.869 0.000 2.198 O
1.899 1.585 8.788 O
2.854 0.000 5.573 O
6.915 1.585 5.413 O
5.057 0.000 4.137 O
2.030 0.000 0.080 O
2.985 1.585 3.295 O
7.738 1.585 10.906 O
3.625 0.000 8.809 Tl
6.143 1.585 2.177 Tl
1.259 0.000 3.316 Tl
8.509 1.585 7.670 Tl
0.938 1.585 10.465 Os
3.946 1.585 4.972 Os
8.831 0.000 0.521 Os
5.822 0.000 6.014 Os
```


The following is a DFT calculation (PBE) of a relaxed NbFeSb crystal.

Computed properties:
Electronic total energy (eV per formula unit): -22.7
Total magnetic moment (μB/cell): 0.01

Structure (POSCAR):
```
NbFeSb
1.0
6.638 0.000 0.000
0.000 4.115 0.000
0.000 0.000 7.320
Fe Sb Nb
4 4 4
Cartesian
2.463 3.087 0.478 Fe
0.856 1.029 4.138 Fe
5.781 3.087 3.183 Fe
4.175 1.029 6.843 Fe
1.617 3.087 2.881 Sb
4.936 3.087 0.779 Sb
5.020 1.029 4.439 Sb
1.702 1.029 6.542 Sb
6.552 3.087 5.808 Nb
0.086 1.029 1.512 Nb
3.233 3.087 5.173 Nb
3.404 1.029 2.148 Nb
```


The following is a DFT calculation (PBE) of a relaxed TaBiN2O crystal.

Computed properties:
Electronic total energy (eV per formula unit): -41.8
Total magnetic moment (μB/cell): 0.00

Structure (POSCAR):
```
TaBiN2O
1.0
4.690 -1.290 2.915
-4.278 -3.722 -0.088
0.389 0.162 -5.655
N Bi O Ta
4 2 2 2
Cartesian
-2.802 -3.672 -0.528 N
1.682 -2.456 0.973 N
-0.902 -2.127 -3.952 N
3.582 -0.911 -2.450 N
-2.574 -3.763 -3.862 Bi
-1.144 -1.869 -0.713 Bi
1.248 -2.487 -1.949 O
-0.261 -4.612 0.390 O
0.290 -3.521 1.986 Ta
2.623 -1.579 -0.797 Ta
```


The following is a DFT calculation (PBE) of a relaxed AlAgSO crystal.

Computed properties:
Distance to the lowest polymorph of the same formula (kJ/mol of formula units): 4

Structure (POSCAR):
```
AlAgSO
1.0
3.610 0.000 0.000
0.000 6.945 0.000
0.000 0.000 5.514
S Ag Al O
2 2 2 2
Cartesian
0.000 2.165 3.485 S
0.000 4.780 0.728 S
0.000 2.177 0.515 Ag
0.000 4.768 3.272 Ag
1.805 0.860 2.975 Al
1.805 6.085 0.218 Al
1.805 0.560 1.246 O
1.805 6.385 4.002 O
```


The following is a DFT calculation (PBE) of a relaxed Mg2Mo3Pt2 crystal.

Computed properties:
Electronic total energy (eV per formula unit): -49.1
Total magnetic moment (μB/cell): 0.04

Structure (POSCAR):
```
Mg2Mo3Pt2
1.0
-5.904 2.786 2.786
-2.786 2.786 5.904
-2.786 5.904 2.786
Pt Mg Mo
2 2 3
Cartesian
-5.542 5.542 5.542 Pt
-0.608 0.608 0.608 Pt
-8.826 8.826 8.826 Mg
-2.197 2.197 2.197 Mg
-10.553 10.553 10.553 Mo
-3.843 3.843 3.843 Mo
-7.166 7.166 7.166 Mo
```